Compound: Ga2PtPbI
Source: Alexandria via LeMat-Bulk
Functional: PBE-GGA
Structure: relaxed

The structure in POSCAR format:
```
Ga2PtPbI
1.0
4.895 0.000 0.000
0.000 4.895 0.000
0.000 0.000 5.785
Ga Pt Pb I
2 1 1 1
direct
0.000 0.500 0.000
0.500 0.000 0.000
0.000 0.000 0.000
0.000 0.000 0.500
0.500 0.500 0.500
```

Calculated values
- E_form (uncorrected) (kJ/mol of atoms) = -32.6
- VASP energy (eV per cell) = -19.0
- size of the total moment (μB per cell) = 0.00
- space group = No. 123


Compound: Sn2SeN
Source: Alexandria via LeMat-Bulk
Functional: PBE-GGA
Structure: relaxed

The structure in POSCAR format:
```
Sn2SeN
1.0
0.000 3.404 3.404
3.404 0.000 3.404
3.404 3.404 0.000
Sn Se N
2 1 1
direct
0.250 0.250 0.250
0.750 0.750 0.750
0.000 0.000 0.000
0.500 0.500 0.500
```

Calculated values
- E_form (uncorrected) (kJ/mol of atoms) = 76.7
- VASP energy (eV per cell) = -16.6
- size of the total moment (μB per cell) = 0.00
- space group = No. 225
- relative energy among the computed polymorphs (eV/f.u.) = 2.42


Compound: Ca3NiGe3
Source: Alexandria via LeMat-Bulk
Functional: PBE-GGA
Structure: relaxed

The structure in POSCAR format:
```
Ca3NiGe3
1.0
5.370 -2.185 0.000
5.370 2.185 0.000
-4.983 0.000 13.239
Ca Ni Ge
6 2 6
direct
0.029 0.029 0.385
0.100 0.100 0.920
0.245 0.245 0.233
0.755 0.755 0.767
0.900 0.900 0.080
0.971 0.971 0.615
0.255 0.255 0.599
0.745 0.745 0.401
0.351 0.351 0.459
0.390 0.390 0.922
0.454 0.454 0.759
0.546 0.546 0.241
0.610 0.610 0.078
0.649 0.649 0.541
```

Calculated values
- VASP energy (eV per cell) = -59.9
- size of the total moment (μB per cell) = 0.00
- space group = No. 12


Compound: Al2AgRu
Source: Alexandria via LeMat-Bulk
Functional: PBE-GGA
Structure: relaxed

The structure in POSCAR format:
```
Al2AgRu
1.0
0.000 3.131 3.131
3.131 0.000 3.131
3.131 3.131 0.000
Al Ag Ru
2 1 1
direct
0.000 0.000 0.000
0.250 0.250 0.250
0.500 0.500 0.500
0.750 0.750 0.750
```

Calculated values
- VASP energy (eV per cell) = -19.5
- size of the total moment (μB per cell) = 0.00
- space group = No. 216


Compound: Y3Be
Source: Alexandria via LeMat-Bulk
Functional: PBE-GGA
Structure: relaxed

The structure in POSCAR format:
```
Y3Be
1.0
3.487 0.000 0.000
0.000 3.487 0.000
0.000 0.000 8.665
Y Be
3 1
direct
0.000 0.000 0.000
0.500 0.500 0.309
0.500 0.500 0.691
0.000 0.000 0.500
```

Calculated values
- VASP energy (eV per cell) = -22.9
- size of the total moment (μB per cell) = 0.00
- space group = No. 123
- relative energy among the computed polymorphs (eV/f.u.) = 0.00


Compound: SbWI3
Source: Alexandria via LeMat-Bulk
Functional: PBE-GGA
Structure: relaxed

The structure in POSCAR format:
```
SbWI3
1.0
5.461 0.000 0.000
0.000 5.461 0.000
0.000 0.000 5.461
Sb W I
1 1 3
direct
0.000 0.000 0.000
0.500 0.500 0.500
0.000 0.500 0.500
0.500 0.000 0.500
0.500 0.500 0.000
```

Calculated values
- E_form (uncorrected) (kJ/mol of atoms) = 84.3
- VASP energy (eV per cell) = -17.4
- size of the total moment (μB per cell) = 1.03
- space group = No. 221
- relative energy among the computed polymorphs (eV/f.u.) = 0.00


Compound: Ba2SrTeIr
Source: Alexandria via LeMat-Bulk
Functional: PBE-GGA
Structure: relaxed

The structure in POSCAR format:
```
Ba2SrTeIr
1.0
5.982 0.000 0.000
0.000 5.982 0.000
0.000 0.000 5.769
Ba Sr Te Ir
2 1 1 1
direct
0.000 0.500 0.000
0.500 0.000 0.000
0.000 0.000 0.500
0.500 0.500 0.500
0.000 0.000 0.000
```

Calculated values
- E_form (uncorrected) (kJ/mol of atoms) = -55.4
- VASP energy (eV per cell) = -20.4
- size of the total moment (μB per cell) = 0.00
- space group = No. 123


Compound: K2BiH
Source: Alexandria via LeMat-Bulk
Functional: PBE-GGA
Structure: relaxed

The structure in POSCAR format:
```
K2BiH
1.0
3.488 0.000 0.000
0.000 3.488 0.000
0.000 0.000 8.991
K Bi H
2 1 1
direct
0.000 0.000 0.186
0.000 0.000 0.814
0.500 0.500 0.500
0.500 0.500 0.000
```

Calculated values
- VASP energy (eV per cell) = -10.3
- size of the total moment (μB per cell) = 0.00
- space group = No. 123
- relative energy among the computed polymorphs (eV/f.u.) = 0.00